Entry 1:
8
Lattice="-2.685 3.426 1.480 -1.851 -3.577 -2.217 -1.952 -7.381 13.539" Properties=species:S:1:pos:R:3 comment="PBE-GGA LaThBi2, relaxed" total_magnetization_mub_per_fu=0.00 space_group="P6_3/mmc (194)" mass_density_g_cm3=9.21 dos_at_fermi_per_ev_cell=5.60 final_energy_ev_per_atom=-5.8188 relative_energy_mev_per_atom=33 delta_e_f_ev_per_atom=-0.792 pbc="T T T"
La -3.592 -6.778 9.170
La -2.895 -0.754 3.633
Th 0.000 0.000 0.000
Bi -2.869 -4.044 4.154
Bi -2.364 -2.132 0.647
Th -0.976 -3.690 6.769
Bi -4.123 -5.400 12.155
Bi -3.618 -3.489 8.649

***

Entry 2:
24
Lattice="7.942 0.033 -1.469 -3.042 7.336 -1.469 -0.007 -0.010 14.759" Properties=species:S:1:pos:R:3 comment="PBE-GGA La2ThBi3, relaxed" total_magnetization_mub_per_fu=0.00 space_group="Fddd (70)" mass_density_g_cm3=8.77 dos_at_fermi_per_ev_cell=8.32 final_energy_ev_per_atom=-5.7330 relative_energy_mev_per_atom=0 delta_e_f_ev_per_atom=-0.913 pbc="T T T"
Bi 0.899 7.308 5.192
Bi 1.199 1.803 -0.719
Bi 0.422 0.578 9.625
La 2.040 3.068 11.095
Th 4.485 6.745 9.602
La 3.975 0.022 -0.712
Th 0.109 6.119 8.130
La 3.668 5.516 5.154
La 2.854 4.291 0.726
Th 0.408 0.614 2.220
Bi 3.701 5.566 -2.220
La 4.789 1.247 3.715
Bi 4.792 1.194 11.060
La 6.410 3.685 12.533
Bi -1.498 3.703 6.629
Bi 2.845 4.334 8.141
Bi 4.523 6.747 2.196
Th -0.707 4.892 3.691
Bi 0.077 6.128 0.776
La 5.596 2.461 8.106
Bi 5.646 2.479 0.761
La 1.226 1.844 6.668
Bi -0.728 4.918 11.045
Bi 1.997 3.059 3.680

***

Entry 3:
4
Lattice="-3.172 -1.673 1.709 1.573 -3.598 -0.603 3.661 0.397 7.186" Properties=species:S:1:pos:R:3 comment="PBE-GGA LaThBi2, relaxed" total_magnetization_mub_per_fu=0.01 space_group="P4/mmm (123)" mass_density_g_cm3=10.28 dos_at_fermi_per_ev_cell=4.45 final_energy_ev_per_atom=-5.6994 relative_energy_mev_per_atom=152 delta_e_f_ev_per_atom=-0.672 pbc="T T T"
La 1.031 -2.437 4.146
Th -0.799 -2.635 0.553
Bi 2.771 0.301 5.440
Bi 0.890 0.097 1.746

***

Entry 4:
4
Lattice="-2.764 -0.977 -4.820 -0.445 -5.264 -1.979 -4.987 -2.636 0.093" Properties=species:S:1:pos:R:3 comment="PBE-GGA LaThBi2, relaxed" total_magnetization_mub_per_fu=0.00 space_group="Fm-3m (225)" mass_density_g_cm3=10.32 dos_at_fermi_per_ev_cell=4.46 final_energy_ev_per_atom=-5.6806 relative_energy_mev_per_atom=171 delta_e_f_ev_per_atom=-0.653 pbc="T T T"
Bi -2.049 -2.219 -1.677
La 0.000 0.000 0.000
Th -4.098 -4.439 -3.353
Bi -6.147 -6.658 -5.030

***

Entry 5:
6
Lattice="-2.540 -3.852 -0.695 0.847 -1.698 6.316 -4.950 6.287 -1.089" Properties=species:S:1:pos:R:3 comment="PBE-GGA La2ThBi3, relaxed" total_magnetization_mub_per_fu=0.00 space_group="Immm (71)" mass_density_g_cm3=8.77 dos_at_fermi_per_ev_cell=2.68 final_energy_ev_per_atom=-5.7303 relative_energy_mev_per_atom=3 delta_e_f_ev_per_atom=-0.911 pbc="T T T"
Bi 0.000 0.000 0.000
La -3.427 1.484 4.302
Bi -3.910 2.369 1.161
Th 0.423 -0.849 3.158
Bi -2.734 -1.632 3.371
La -3.216 -0.747 0.230

***

Entry 6:
22
Lattice="-0.460 -2.535 -3.932 -5.726 -2.955 5.385 -14.362 14.205 -7.479" Properties=species:S:1:pos:R:3 comment="PBE-GGA La4ThBi6, relaxed" total_magnetization_mub_per_fu=0.00 space_group="Cmcm (63)" mass_density_g_cm3=8.31 dos_at_fermi_per_ev_cell=7.42 final_energy_ev_per_atom=-5.3260 delta_e_f_ev_per_atom=-0.743 pbc="T T T"
La -8.267 5.329 -2.469
Bi -5.116 4.222 -2.124
Th -14.827 7.779 -3.282
La -13.797 10.233 -7.794
La -12.281 3.386 -3.557
La -6.751 -1.518 1.768
Bi -11.367 6.482 -2.850
Bi -15.784 10.851 -5.150
Bi -7.411 5.835 -5.705
Bi -15.432 4.493 -3.902
Bi -17.496 6.535 -4.977
Bi -3.052 2.180 -1.049
Bi -13.516 7.604 -6.132
Bi -4.765 -2.135 -0.876
Bi -9.182 2.233 -3.176
La -2.268 -0.604 0.655
Bi -0.230 -1.267 -1.966
Th -5.722 0.936 -2.744
Bi -7.033 1.111 0.106
La -10.083 1.778 0.033
La -10.465 6.938 -6.059
La -18.280 9.320 -6.681

***

Entry 7:
4
Lattice="-0.620 -4.311 -1.603 -0.843 -3.476 2.956 -7.961 -1.296 -0.151" Properties=species:S:1:pos:R:3 comment="PBE-GGA LaThBi2, relaxed" total_magnetization_mub_per_fu=0.00 space_group="R-3m (166)" mass_density_g_cm3=9.23 dos_at_fermi_per_ev_cell=2.34 final_energy_ev_per_atom=-5.8517 relative_energy_mev_per_atom=0 delta_e_f_ev_per_atom=-0.824 pbc="T T T"
Bi -7.109 -6.805 0.898
Bi -2.316 -2.278 0.304
La -4.712 -4.541 0.601
Th 0.000 0.000 0.000

***

Entry 8:
8
Lattice="4.673 0.000 0.000 0.000 8.093 -0.073 0.000 -2.621 7.657" Properties=species:S:1:pos:R:3 comment="PBE-GGA La3ThBi4, relaxed" total_magnetization_mub_per_fu=0.00 space_group="Cmmm (65)" mass_density_g_cm3=8.54 dos_at_fermi_per_ev_cell=2.00 final_energy_ev_per_atom=-5.6701 delta_e_f_ev_per_atom=-0.954 pbc="T T T"
Bi 0.000 4.128 5.721
Bi 2.336 5.443 1.839
La 0.000 4.047 -0.037
La 0.000 -1.311 3.829
Bi 2.336 0.029 5.745
Bi 0.000 1.344 1.863
Th 2.336 0.000 0.000
La 2.336 2.736 3.792

***

Entry 9:
4
Lattice="-4.019 -1.745 2.365 2.714 -0.486 4.253 -1.260 4.722 1.344" Properties=species:S:1:pos:R:3 comment="PBE-GGA La2ThBi, relaxed" total_magnetization_mub_per_fu=0.00 space_group="P4/mmm (123)" mass_density_g_cm3=9.33 dos_at_fermi_per_ev_cell=4.62 final_energy_ev_per_atom=-5.6818 relative_energy_mev_per_atom=0 delta_e_f_ev_per_atom=-0.393 pbc="T T T"
La 1.357 -0.243 2.127
Th -1.283 1.245 3.981
La -0.630 2.361 0.672
Bi -2.010 -0.873 1.183

***

Entry 10:
4
Lattice="4.114 0.000 0.000 0.000 4.114 0.000 0.000 0.000 7.875" Properties=species:S:1:pos:R:3 comment="PBE-GGA La2ThBi, relaxed" total_magnetization_mub_per_fu=0.00 space_group="P4/mmm (123)" mass_density_g_cm3=8.95 dos_at_fermi_per_ev_cell=3.89 final_energy_ev_per_atom=-5.6744 relative_energy_mev_per_atom=7 delta_e_f_ev_per_atom=-0.385 pbc="T T T"
La 0.000 0.000 6.118
La 0.000 0.000 1.756
Th 2.057 2.057 3.937
Bi 2.057 2.057 0.000

***

Entry 11:
9
Lattice="-3.071 -2.720 3.474 -2.276 -2.650 -4.086 8.415 -8.471 0.806" Properties=species:S:1:pos:R:3 comment="PBE-GGA LaTmTh2Bi5, relaxed" total_magnetization_mub_per_fu=0.00 space_group="P4/mmm (123)" mass_density_g_cm3=8.72 dos_at_fermi_per_ev_cell=4.47 final_energy_ev_per_atom=-4.9011 delta_e_f_ev_per_atom=-0.052 pbc="T T T"
Bi 3.070 -5.560 -1.640
Bi 2.672 -5.595 2.140
Bi 2.131 -2.146 0.204
Th -0.149 -5.226 -0.064
Tm 4.207 -4.235 0.403
Bi -2.673 -2.685 -0.306
Th 3.218 -8.615 0.258
Bi 6.284 -6.325 0.602
La 0.000 0.000 0.000

***

Entry 12:
8
Lattice="4.552 0.000 0.000 0.000 7.815 -0.135 0.000 2.770 7.388" Properties=species:S:1:pos:R:3 comment="PBE-GGA LaTm2ThBi4, relaxed" total_magnetization_mub_per_fu=0.00 space_group="P2/m (10)" mass_density_g_cm3=9.70 dos_at_fermi_per_ev_cell=1.83 final_energy_ev_per_atom=-5.4057 delta_e_f_ev_per_atom=-0.804 pbc="T T T"
Bi 4.552 2.554 1.871
Bi 2.276 3.932 5.525
Bi 0.000 8.030 5.382
Th 0.000 5.292 3.626
Tm 0.000 2.770 7.388
Bi 2.276 6.653 1.727
La 2.276 6.678 7.320
Tm 2.276 1.385 3.694

***

> Which formula does entry 5 have?

La2ThBi3